Entry from the Alexandria database: a geometry-optimized K3DyEr2S6 structure (PBE).

extended XYZ file:
```
12
Lattice="3.4892 -6.0435 0.0000 3.4892 6.0435 0.0000 -2.3264 0.0000 7.3650" Properties=species:S:1:pos:R:3 pbc="T T T"
K 0.0000 0.0000 0.0000
K 3.4892 2.0128 0.0000
K 3.4892 -2.0128 0.0000
Dy 2.3260 0.0000 3.6825
Er 2.3260 4.0288 3.6825
Er 2.3260 -4.0288 3.6825
S 1.1557 2.0269 2.2050
S -0.0145 0.0000 5.1604
S 1.1557 -2.0269 2.2050
S 3.4963 2.0269 5.1600
S 4.6665 0.0000 2.2046
S 3.4963 -2.0269 5.1600
```

Properties
V	25.9	A^3/atom
symmetry	C2/m
DFT total energy	-5.372	eV per atom